Record 1
A geometry-optimized VNO2 structure. Source: Alexandria, functional PBE+U.

It has space group P2_1/m (No. 11), with a = 3.009 Å, b = 3.844 Å, c = 12.011 Å, α = 90.00°, β = 94.22° and γ = 90.00°. The distinct sites, in fractional coordinates, are V at (0.224, 0.250, 0.088), N at (0.377, 0.750, 0.372), O at (0.197, 0.750, 0.824) and O at (0.258, 0.750, 0.041).


Record 2
A geometry-optimized VNO2 structure. Source: Alexandria, functional PBE+U.

It has space group I-42d (No. 122), with a = 5.890 Å, b = 5.890 Å, c = 8.352 Å, α = 90.00°, β = 90.00° and γ = 90.00°. The distinct sites, in fractional coordinates, are V at (0.000, 0.000, 0.000), N at (0.000, 0.000, 0.500) and O at (0.002, 0.250, 0.125).


| no. | raw total energy (eV for the cell shown) |
| --- | --- |
| 1 | -52.48 |
| 2 | -104.45 |